Entry 1:
The following is a DFT calculation (GGA-PBE) of a geometry-optimized Y3Te structure.

Cell lengths 5.756, 5.756, 3.744 Å; angles 90.00, 90.00, 108.98 degrees
Fractional positions:
1 Y 0.500 0.000 0.500
2 Y 0.000 0.500 0.500
3 Y 0.500 0.500 0.000
4 Te 0.000 0.000 0.000

Computed properties:
Uncorrected formation energy = -40.6 kJ/mol of atoms
SG = Cmmm (65)
Fermi-level density of states = 5.4 states/eV/cell
Uncorrected energy = -24.2 eV for the cell shown
Offset from the most stable computed form = 265 meV per atom

---

Entry 2:
The following is a DFT calculation (GGA-PBE) of a geometry-optimized Y2Te structure.

Cell lengths 3.978, 6.917, 7.216 Å; angles 90.00, 90.00, 90.00 degrees
Fractional positions:
1 Y 0.000 0.789 0.357
2 Y 0.500 0.289 0.143
3 Y 0.500 0.711 0.857
4 Y 0.000 0.211 0.643
5 Te 0.500 0.500 0.500
6 Te 0.000 0.000 0.000

Computed properties:
Uncorrected formation energy = -62.7 kJ/mol of atoms
SG = Pnnm (58)
Fermi-level density of states = 5.2 states/eV/cell
Uncorrected energy = -36.0 eV for the cell shown

---

Entry 3:
The following is a DFT calculation (GGA-PBE) of a geometry-optimized YTe3 structure.

Cell lengths 5.454, 5.454, 5.454 Å; angles 60.00, 60.00, 60.00 degrees
Fractional positions:
1 Te 0.000 0.000 0.000
2 Te 0.500 0.500 0.500
3 Te 0.250 0.250 0.250
4 Y 0.750 0.750 0.750

Computed properties:
Uncorrected formation energy = -38.9 kJ/mol of atoms
SG = Fm-3m (225)
Fermi-level density of states = 7.0 states/eV/cell
Uncorrected energy = -17.5 eV for the cell shown

---

Entry 4:
The following is a DFT calculation (GGA-PBE) of a geometry-optimized Y4Te5 structure.

Cell lengths 3.984, 8.714, 8.714 Å; angles 65.52, 76.77, 76.77 degrees
Each line ends with the local moment (μB).
Fractional positions:
1 Te 0.737 0.930 0.596  0.00
2 Te 0.000 0.322 0.678  0.00
3 Te 0.000 0.667 0.333  0.00
4 Te 0.263 0.404 0.070  0.00
5 Te 0.000 0.012 0.988  0.00
6 Y 0.361 0.609 0.668  0.05
7 Y 0.639 0.725 0.998  0.05
8 Y 0.361 0.002 0.275  0.05
9 Y 0.639 0.332 0.391  0.05

Computed properties:
Uncorrected formation energy = -104.5 kJ/mol of atoms
SG = Immm (71)
Fermi-level density of states = 8.5 states/eV/cell
Uncorrected energy = -51.3 eV for the cell shown
Offset from the most stable computed form = 128 meV per atom

---

Entry 5:
The following is a DFT calculation (GGA-PBE) of a geometry-optimized Y4Te structure.

Cell lengths 6.122, 6.122, 6.122 Å; angles 109.47, 109.47, 109.47 degrees
Each line ends with the local moment (μB).
Fractional positions:
1 Te 0.000 0.000 0.000  0.00
2 Y 0.500 0.500 0.500  0.48
3 Y 0.000 0.500 0.000  0.48
4 Y 0.000 0.000 0.500  0.48
5 Y 0.500 0.000 0.000  0.48

Computed properties:
Uncorrected formation energy = 5.0 kJ/mol of atoms
SG = Im-3m (229)
Fermi-level density of states = 6.4 states/eV/cell
Uncorrected energy = -28.7 eV for the cell shown
Offset from the most stable computed form = 398 meV per atom

---

Entry 6:
The following is a DFT calculation (GGA-PBE) of a geometry-optimized Y4Te3 structure.

Cell lengths 12.389, 12.389, 12.389 Å; angles 160.92, 160.92, 27.11 degrees
Fractional positions:
1 Y 0.430 0.430 0.000
2 Y 0.841 0.841 0.000
3 Y 0.159 0.159 0.000
4 Y 0.570 0.570 0.000
5 Te 0.302 0.302 0.000
6 Te 0.000 0.000 0.000
7 Te 0.698 0.698 0.000

Computed properties:
Uncorrected formation energy = -96.4 kJ/mol of atoms
SG = I4/mmm (139)
Fermi-level density of states = 8.7 states/eV/cell
Uncorrected energy = -42.3 eV for the cell shown
Offset from the most stable computed form = 106 meV per atom

---

Entry 7:
The following is a DFT calculation (GGA-PBE) of a geometry-optimized YTe3 structure.

Cell lengths 9.304, 9.304, 9.304 Å; angles 25.30, 25.30, 25.30 degrees
Fractional positions:
1 Te 0.260 0.260 0.260
2 Te 0.740 0.740 0.740
3 Te 0.500 0.500 0.500
4 Y 0.000 0.000 0.000

Computed properties:
Uncorrected formation energy = -44.5 kJ/mol of atoms
SG = R-3m (166)
Fermi-level density of states = 4.3 states/eV/cell
Uncorrected energy = -17.7 eV for the cell shown

---

Entry 8:
The following is a DFT calculation (GGA-PBE) of a geometry-optimized YTe5 structure.

Cell lengths 3.920, 3.920, 11.409 Å; angles 90.00, 90.00, 90.00 degrees
Fractional positions:
1 Te 0.000 0.000 0.141
2 Te 0.500 0.500 0.345
3 Te 0.000 0.000 0.859
4 Te 0.000 0.000 0.500
5 Te 0.500 0.500 0.655
6 Y 0.500 0.500 0.000

Computed properties:
Uncorrected formation energy = -30.0 kJ/mol of atoms
SG = P4/mmm (123)
Fermi-level density of states = 4.7 states/eV/cell
Uncorrected energy = -24.0 eV for the cell shown

---

Among the records above, which one has the lowest Fermi-level density of states?
number 7